Record 1
The following is a GGA-PBE calculation of a relaxed structure of K3Li2CeF9, from Alexandria.

abc: 5.9079 5.9079 7.8329
angles: 90.00 90.00 120.00
Last column: nearest neighbours and their distance in Å.
Sites, in units of the cell vectors:
K 0.0000 0.0000 0.0000  12 F 2.95-3.10
K 0.3333 0.6667 0.7455  3 F 2.62
K 0.6667 0.3333 0.2545  3 F 2.62
Li 0.3333 0.6667 0.1234  3 F 1.96
Li 0.6667 0.3333 0.8766  3 F 1.96
Ce 0.0000 0.0000 0.5000  6 F 2.17
F 0.0000 0.5000 0.0000  2 Li 1.96
F 0.1673 0.3345 0.3301  1 Ce 2.17, 1 Li 2.35
F 0.1673 0.8327 0.3301  1 Ce 2.17, 1 Li 2.35
F 0.3345 0.1673 0.6699  1 Ce 2.17, 1 Li 2.35
F 0.5000 0.0000 0.0000  2 Li 1.96
F 0.5000 0.5000 0.0000  2 Li 1.96
F 0.6655 0.8327 0.3301  1 Ce 2.17, 1 Li 2.35
F 0.8327 0.1673 0.6699  1 Ce 2.17, 1 Li 2.35
F 0.8327 0.6655 0.6699  1 Ce 2.17, 1 Li 2.35

Final energy in eV/atom: -5.13
E_form (uncorrected) in eV/atom: -3.13
Crystal system: trigonal
Space-group type: P-3m1

=====

Record 2
The following is a GGA-PBE calculation of a relaxed structure of K2LiCeF6, from Alexandria.

abc: 6.1344 6.1915 10.6013
angles: 90.00 124.88 90.00
Last column: nearest neighbours and their distance in Å.
Sites, in units of the cell vectors:
K 0.2412 0.0335 0.2489  7 F 2.71-3.02
K 0.2412 0.4665 0.7489  7 F 2.71-3.02
K 0.7588 0.5335 0.2511  7 F 2.71-3.02
K 0.7588 0.9665 0.7511  7 F 2.71-3.02
Li 0.0000 0.0000 0.5000  6 F 2.14-2.16
Li 0.0000 0.5000 0.0000  6 F 2.14-2.16
Ce 0.5000 0.0000 0.0000  6 F 2.30
Ce 0.5000 0.5000 0.5000  6 F 2.30
F 0.1662 0.2198 0.9636  1 Li 2.16, 1 Ce 2.30
F 0.1662 0.2802 0.4636  1 Li 2.16, 1 Ce 2.30
F 0.2440 0.7043 0.9640  1 Li 2.15, 1 Ce 2.30
F 0.2440 0.7957 0.4640  1 Li 2.15, 1 Ce 2.30
F 0.3096 0.0191 0.7405  1 Li 2.14, 1 Ce 2.30
F 0.3096 0.4809 0.2405  1 Li 2.14, 1 Ce 2.30
F 0.6904 0.5191 0.7595  1 Li 2.14, 1 Ce 2.30
F 0.6904 0.9809 0.2595  1 Li 2.14, 1 Ce 2.30
F 0.7560 0.2043 0.5360  1 Li 2.15, 1 Ce 2.30
F 0.7560 0.2957 0.0360  1 Li 2.15, 1 Ce 2.30
F 0.8338 0.7198 0.5364  1 Li 2.16, 1 Ce 2.30
F 0.8338 0.7802 0.0364  1 Li 2.16, 1 Ce 2.30

Final energy in eV/atom: -5.39
E_form (uncorrected) in eV/atom: -3.26
Excess energy over the best structure of this formula in the dataset in meV/atom: 0
Crystal system: monoclinic
Space-group type: P2_1/c

=====

Record 3
The following is a GGA-PBE calculation of a relaxed structure of K2CeMg3F12, from Alexandria.

abc: 7.0483 7.0483 7.0483
angles: 63.49 63.49 63.49
Last column: nearest neighbours and their distance in Å.
Sites, in units of the cell vectors:
K 0.1095 0.1095 0.1095  3 F 2.73
K 0.8905 0.8905 0.8905  3 F 2.73
Ce 0.5000 0.5000 0.5000  6 F 2.28
Mg 0.0000 0.5000 0.5000  6 F 1.95-2.05
Mg 0.5000 0.0000 0.5000  6 F 1.95-2.05
Mg 0.5000 0.5000 0.0000  6 F 1.95-2.05
F 0.1209 0.6229 0.6229  1 Mg 2.05, 1 Ce 2.28
F 0.2255 0.2255 0.6008  2 Mg 1.95
F 0.2255 0.6008 0.2255  2 Mg 1.95
F 0.3771 0.3771 0.8791  1 Mg 2.05, 1 Ce 2.28
F 0.3771 0.8791 0.3771  1 Mg 2.05, 1 Ce 2.28
F 0.3992 0.7745 0.7745  2 Mg 1.95
F 0.6008 0.2255 0.2255  2 Mg 1.95
F 0.6229 0.1209 0.6229  1 Mg 2.05, 1 Ce 2.28
F 0.6229 0.6229 0.1209  1 Mg 2.05, 1 Ce 2.28
F 0.7745 0.3992 0.7745  2 Mg 1.95
F 0.7745 0.7745 0.3992  2 Mg 1.95
F 0.8791 0.3771 0.3771  1 Mg 2.05, 1 Ce 2.28

Final energy in eV/atom: -5.37
E_form (uncorrected) in eV/atom: -3.40
Crystal system: trigonal
Space-group type: R-3m